(1)
Compound: CaSc2Mo
Source: the Alexandria database
Functional: PBEsol
Structure: relaxed

Cell and atoms, written as POSCAR:
```
CaSc2Mo
1.0
0.0000 3.5001 3.5001
3.5001 0.0000 3.5001
3.5001 3.5001 0.0000
Ca Sc Mo
1 2 1
direct
0.0000 0.0000 0.0000
0.5000 0.5000 0.5000
0.7500 0.7500 0.7500
0.2500 0.2500 0.2500
```

Values from the calculation:
ΔE_f   561 meV/atom
Electronic total energy   -6.216 eV per atom
Crystal system   cubic
Magnetic moment   0.000 μB per formula unit

---

(2)
Compound: CaSc2Mo
Source: the Alexandria database
Functional: PBEsol
Structure: relaxed

Cell and atoms, written as POSCAR:
```
CaSc2Mo
1.0
-1.6269 2.8351 5.0871
1.6269 -2.8351 5.0871
1.6269 2.8351 -5.0871
Ca Sc Mo
1 2 1
direct
0.0000 0.0000 0.0000
0.2967 0.7967 0.5000
0.7033 0.2033 0.5000
0.5000 0.5000 0.0000
```

Values from the calculation:
ΔE_f   373 meV/atom
Electronic total energy   -6.405 eV per atom
Crystal system   orthorhombic
Magnetic moment   0.000 μB per formula unit

---

(3)
Compound: Ca2MoSe
Source: the Alexandria database
Functional: PBEsol
Structure: relaxed

Cell and atoms, written as POSCAR:
```
Ca2MoSe
1.0
-2.2066 2.2066 4.3561
2.2066 -2.2066 4.3561
2.2066 2.2066 -4.3561
Ca Mo Se
2 1 1
direct
0.2500 0.7500 0.5000
0.7500 0.2500 0.5000
0.0000 0.0000 0.0000
0.5000 0.5000 0.0000
```

Values from the calculation:
Uncorrected formation energy   0.2751 eV per atom
Electronic total energy   -4.696 eV per atom
Crystal system   tetragonal
Magnetic moment   1.927 μB per formula unit

---

(4)
Compound: CaMo2Se
Source: the Alexandria database
Functional: PBEsol
Structure: relaxed

Cell and atoms, written as POSCAR:
```
CaMo2Se
1.0
5.5662 -1.5923 0.0000
5.5662 1.5923 0.0000
-1.4477 0.0000 4.3610
Ca Mo Se
1 2 1
direct
0.0000 0.0000 0.0000
0.2157 0.2157 0.6559
0.7843 0.7843 0.3441
0.5000 0.5000 0.5000
```

Values from the calculation:
Uncorrected formation energy   0.1757 eV per atom
Electronic total energy   -7.204 eV per atom
Crystal system   monoclinic
Magnetic moment   0.000 μB per formula unit

---

(5)
Compound: CaMo2Se
Source: the Alexandria database
Functional: PBEsol
Structure: relaxed

Cell and atoms, written as POSCAR:
```
CaMo2Se
1.0
2.6499 -4.5457 0.0000
2.6499 4.5457 0.0000
0.0000 0.0000 2.9499
Ca Mo Se
1 2 1
direct
0.0000 0.0000 0.0000
0.0000 0.5000 0.5000
0.5000 0.0000 0.5000
0.5000 0.5000 0.0000
```

Values from the calculation:
Uncorrected formation energy   0.6603 eV per atom
Electronic total energy   -6.720 eV per atom
Crystal system   orthorhombic
Magnetic moment   0.000 μB per formula unit

---

(6)
Compound: CaMo2Se
Source: the Alexandria database
Functional: PBEsol
Structure: relaxed

Cell and atoms, written as POSCAR:
```
CaMo2Se
1.0
3.4047 0.0000 0.0000
0.0000 4.1473 0.0000
0.0000 0.0000 5.0767
Ca Mo Se
1 2 1
direct
0.0000 0.0000 0.0000
0.0000 0.5000 0.5000
0.5000 0.0000 0.5000
0.5000 0.5000 0.0000
```

Values from the calculation:
Uncorrected formation energy   0.2846 eV per atom
Electronic total energy   -7.095 eV per atom
Crystal system   orthorhombic
Magnetic moment   0.000 μB per formula unit

---

(7)
Compound: Ca2SiMo
Source: the Alexandria database
Functional: PBEsol
Structure: relaxed

Cell and atoms, written as POSCAR:
```
Ca2SiMo
1.0
4.0857 0.0000 0.0000
0.0000 2.0953 5.6591
0.0000 -2.0953 5.6591
Ca Si Mo
2 1 1
direct
0.0000 0.0000 0.0000
0.5000 0.2888 0.2888
0.5000 0.5873 0.5873
0.0000 0.6990 0.6990
```

Values from the calculation:
Uncorrected formation energy   0.1879 eV per atom
Electronic total energy   -5.257 eV per atom
Crystal system   orthorhombic
Magnetic moment   0.026 μB per formula unit

---

(8)
Compound: Sr2CaMo
Source: the Alexandria database
Functional: PBEsol
Structure: relaxed

Cell and atoms, written as POSCAR:
```
Sr2CaMo
1.0
-1.9093 2.9401 6.1072
1.9093 -2.9401 6.1072
1.9093 2.9401 -6.1072
Sr Ca Mo
2 1 1
direct
0.2013 0.2013 0.0000
0.7987 0.7987 0.0000
0.5000 0.0000 0.5000
0.0000 0.5000 0.5000
```

Values from the calculation:
ΔE_f   859 meV/atom
Electronic total energy   -3.536 eV per atom
Crystal system   orthorhombic
Magnetic moment   2.505 μB per formula unit

---

(9)
Compound: Sr2CaMo
Source: the Alexandria database
Functional: PBEsol
Structure: relaxed

Cell and atoms, written as POSCAR:
```
Sr2CaMo
1.0
1.8267 1.0546 11.6336
-1.8267 1.0546 11.6336
0.0000 -2.1093 11.6336
Sr Ca Mo
2 1 1
direct
0.2333 0.2333 0.2333
0.7667 0.7667 0.7667
0.0000 0.0000 0.0000
0.5000 0.5000 0.5000
```

Values from the calculation:
ΔE_f   894 meV/atom
Electronic total energy   -3.501 eV per atom
Crystal system   trigonal
Magnetic moment   1.666 μB per formula unit

---

(10)
Compound: CaTaMo
Source: the Alexandria database
Functional: PBEsol
Structure: relaxed

Cell and atoms, written as POSCAR:
```
CaTaMo
1.0
2.9102 0.0000 0.0000
-1.4551 2.5203 0.0000
0.0000 0.0000 7.8713
Ca Ta Mo
1 1 1
direct
0.0000 0.0000 0.0000
0.6667 0.3333 0.3591
0.3333 0.6667 0.6639
```

Values from the calculation:
ΔE_f   820 meV/atom
Electronic total energy   -7.998 eV per atom
Crystal system   trigonal
Magnetic moment   0.000 μB per formula unit

---

(11)
Compound: Ca2TaMo
Source: the Alexandria database
Functional: PBEsol
Structure: relaxed

Cell and atoms, written as POSCAR:
```
Ca2TaMo
1.0
2.8433 0.0000 0.0000
0.0000 5.2717 0.0000
-0.8188 0.0000 5.5408
Ca Ta Mo
2 1 1
direct
0.0103 0.0000 0.2530
0.9897 0.0000 0.7470
0.5000 0.5000 0.0000
0.5000 0.5000 0.5000
```

Values from the calculation:
ΔE_f   838 meV/atom
Electronic total energy   -6.308 eV per atom
Crystal system   monoclinic
Magnetic moment   0.000 μB per formula unit

---

(12)
Compound: Ca2TcMo
Source: the Alexandria database
Functional: PBEsol
Structure: relaxed

Cell and atoms, written as POSCAR:
```
Ca2TcMo
1.0
1.6489 0.9520 9.9687
-1.6489 0.9520 9.9687
0.0000 -1.9040 9.9687
Ca Tc Mo
2 1 1
direct
0.0000 0.0000 0.0000
0.2183 0.2183 0.2183
0.7477 0.7477 0.7477
0.4652 0.4652 0.4652
```

Values from the calculation:
ΔE_f   594 meV/atom
Electronic total energy   -6.231 eV per atom
Crystal system   trigonal
Magnetic moment   0.000 μB per formula unit

---

(13)
Compound: CaTcMo2
Source: the Alexandria database
Functional: PBEsol
Structure: relaxed

Cell and atoms, written as POSCAR:
```
CaTcMo2
1.0
4.8926 -1.5437 0.0000
4.8926 1.5437 0.0000
-1.7835 0.0000 4.8587
Ca Tc Mo
1 1 2
direct
0.0000 0.0000 0.0000
0.2240 0.2240 0.6722
0.5050 0.5050 0.5070
0.7850 0.7850 0.3338
```

Values from the calculation:
ΔE_f   620 meV/atom
Electronic total energy   -8.614 eV per atom
Crystal system   monoclinic
Magnetic moment   0.000 μB per formula unit

---

(14)
Compound: CaTcMo
Source: the Alexandria database
Functional: PBEsol
Structure: relaxed

Cell and atoms, written as POSCAR:
```
CaTcMo
1.0
4.6871 0.0000 0.0000
-2.3435 4.0591 0.0000
0.0000 0.0000 2.6903
Ca Tc Mo
1 1 1
direct
0.0000 0.0000 0.0000
0.6667 0.3333 0.6191
0.3333 0.6667 0.3725
```

Values from the calculation:
ΔE_f   651 meV/atom
Electronic total energy   -7.738 eV per atom
Crystal system   trigonal
Magnetic moment   0.000 μB per formula unit

---

(15)
Compound: Ca2TcMo
Source: the Alexandria database
Functional: PBEsol
Structure: relaxed

Cell and atoms, written as POSCAR:
```
Ca2TcMo
1.0
2.7430 -5.0284 0.0000
2.7430 5.0284 0.0000
0.0000 0.0000 2.7497
Ca Tc Mo
2 1 1
direct
0.0000 0.5000 0.0000
0.5000 0.0000 0.0000
0.0000 0.0000 0.5000
0.5000 0.5000 0.5000
```

Values from the calculation:
ΔE_f   817 meV/atom
Electronic total energy   -6.008 eV per atom
Crystal system   orthorhombic
Magnetic moment   0.000 μB per formula unit